MnCdCu (GGA-PBE, relaxed); electronic total energy = -13.0 eV/f.u.; polymorph energy (0 for the lowest one) = 0.66 eV/f.u.; V = 18.7 A^3/atom; E_form = 1.2 eV per formula unit; crystal system = cubic
1.0
0.000 3.036 3.036
3.036 0.000 3.036
3.036 3.036 0.000
Mn Cd Cu
1 1 1
direct
0.000 0.000 0.000
0.500 0.500 0.500
0.750 0.750 0.750